# PBE+U PrCr2IrO8, relaxed
# DOS(E_F) = 5.3 states/eV/cell
# electronic total energy = -7.27 eV/atom
# ρ = 6.41 g cm⁻³
data_PrCr2IrO8
_chemical_formula_sum 'Pr1 Cr2 Ir1 O8'
_cell_length_a 4.7401
_cell_length_b 6.4787
_cell_length_c 4.7683
_cell_angle_alpha 90.00
_cell_angle_beta 91.83
_cell_angle_gamma 90.00
_symmetry_space_group_name_H-M 'P 1 2/m 1'
_symmetry_Int_Tables_number 10
_symmetry_space_group_name_Hall '-P 2y'
loop_
_atom_site_label
_atom_site_type_symbol
_atom_site_fract_x
_atom_site_fract_y
_atom_site_fract_z
Pr1 Pr 0.0000 0.0000 0.0000
Cr1 Cr 0.5000 0.2496 0.5000
Ir1 Ir 0.0000 0.5000 0.0000
O1 O 0.2149 0.2914 0.2044
O2 O 0.2854 0.5000 0.7058
O3 O 0.3250 0.0000 0.6604